[1]
This record from the Alexandria database describes a relaxed structure of TbCuIr. The functional is PBE-GGA.

Energy in eV/atom: -6.433
Energy relative to the elements in kJ per mole of atoms: -55
Space group: No. 74
M_tot in μB/cell: 0.0

CIF file:
```
data_TbCuIr
_chemical_formula_sum 'Tb2 Cu2 Ir2'
_symmetry_space_group_name_H-M 'P 1'
_symmetry_Int_Tables_number 1
_cell_length_a 5.000
_cell_length_b 5.301
_cell_length_c 5.301
_cell_angle_alpha 63.23
_cell_angle_beta 61.86
_cell_angle_gamma 61.86
loop_
_symmetry_equiv_pos_as_xyz
'x,y,z'
loop_
_atom_site_label
_atom_site_type_symbol
_atom_site_fract_x
_atom_site_fract_y
_atom_site_fract_z
Ir1 Ir 0.500 0.000 0.500
Ir2 Ir 0.500 0.500 0.000
Cu1 Cu 0.500 0.000 0.000
Cu2 Cu 0.000 0.000 0.000
Tb1 Tb 0.876 0.374 0.374
Tb2 Tb 0.124 0.626 0.626
```


[2]
This record from the Alexandria database describes a relaxed structure of Nd12Er7Cd. The functional is PBE-GGA.

Energy in eV/atom: -3.817
Energy relative to the elements in kJ per mole of atoms: 66
Space group: No. 204
M_tot in μB/cell: 0.0

CIF file:
```
data_Nd12Er7Cd
_chemical_formula_sum 'Nd12 Er7 Cd1'
_symmetry_space_group_name_H-M 'P 1'
_symmetry_Int_Tables_number 1
_cell_length_a 10.024
_cell_length_b 10.024
_cell_length_c 10.024
_cell_angle_alpha 109.47
_cell_angle_beta 109.47
_cell_angle_gamma 109.47
loop_
_symmetry_equiv_pos_as_xyz
'x,y,z'
loop_
_atom_site_label
_atom_site_type_symbol
_atom_site_fract_x
_atom_site_fract_y
_atom_site_fract_z
Nd1 Nd 0.759 0.520 0.761
Nd2 Nd 0.761 0.759 0.520
Nd3 Nd 0.520 0.761 0.759
Nd4 Nd 0.997 0.239 0.759
Nd5 Nd 0.241 0.003 0.761
Nd6 Nd 0.480 0.239 0.241
Nd7 Nd 0.241 0.480 0.239
Nd8 Nd 0.761 0.241 0.003
Nd9 Nd 0.239 0.759 0.997
Nd10 Nd 0.759 0.997 0.239
Nd11 Nd 0.239 0.241 0.480
Nd12 Nd 0.003 0.761 0.241
Cd1 Cd 0.000 0.000 0.000
Er1 Er 0.500 0.500 0.500
Er2 Er 0.000 0.500 0.000
Er3 Er 0.000 0.000 0.500
Er4 Er 0.500 0.000 0.500
Er5 Er 0.500 0.000 0.000
Er6 Er 0.500 0.500 0.000
Er7 Er 0.000 0.500 0.500
```


[3]
This record from the Alexandria database describes a relaxed structure of Ac2Nd5Sm12. The functional is PBE-GGA.

Energy in eV/atom: -4.561
Energy relative to the elements in kJ per mole of atoms: 10
Space group: No. 12
M_tot in μB/cell: 0.0

CIF file:
```
data_Ac2Nd5Sm12
_chemical_formula_sum 'Ac2 Nd5 Sm12'
_symmetry_space_group_name_H-M 'P 1'
_symmetry_Int_Tables_number 1
_cell_length_a 11.897
_cell_length_b 10.975
_cell_length_c 6.331
_cell_angle_alpha 101.38
_cell_angle_beta 90.00
_cell_angle_gamma 122.82
loop_
_symmetry_equiv_pos_as_xyz
'x,y,z'
loop_
_atom_site_label
_atom_site_type_symbol
_atom_site_fract_x
_atom_site_fract_y
_atom_site_fract_z
Sm1 Sm 0.129 0.259 0.987
Sm2 Sm 0.558 0.116 0.285
Sm3 Sm 0.950 0.406 0.204
Sm4 Sm 0.355 0.208 0.607
Sm5 Sm 0.442 0.884 0.715
Sm6 Sm 0.645 0.792 0.393
Sm7 Sm 0.853 0.208 0.607
Sm8 Sm 0.871 0.741 0.013
Sm9 Sm 0.456 0.406 0.204
Sm10 Sm 0.544 0.594 0.796
Sm11 Sm 0.147 0.792 0.393
Sm12 Sm 0.050 0.594 0.796
Nd1 Nd 0.329 0.657 0.141
Nd2 Nd 0.784 0.567 0.457
Nd3 Nd 0.000 0.000 0.500
Nd4 Nd 0.216 0.433 0.543
Nd5 Nd 0.671 0.343 0.859
Ac1 Ac 0.777 0.000 0.000
Ac2 Ac 0.223 0.000 0.000
```


[4]
This record from the Alexandria database describes a relaxed structure of TiCuRuO6. The functional is PBE-GGA.

Energy in eV/atom: -7.047
Formation energy without anion corrections in eV/atom: -1.379
Space group: No. 163
M_tot in μB/cell: 1.5

CIF file:
```
data_TiCuRuO6
_chemical_formula_sum 'Ti2 Cu2 Ru2 O12'
_symmetry_space_group_name_H-M 'P 1'
_symmetry_Int_Tables_number 1
_cell_length_a 4.994
_cell_length_b 4.994
_cell_length_c 8.847
_cell_angle_alpha 90.00
_cell_angle_beta 90.00
_cell_angle_gamma 120.00
loop_
_symmetry_equiv_pos_as_xyz
'x,y,z'
loop_
_atom_site_label
_atom_site_type_symbol
_atom_site_fract_x
_atom_site_fract_y
_atom_site_fract_z
O1 O 0.345 0.348 0.371
O2 O 0.652 0.997 0.371
O3 O 0.997 0.652 0.871
O4 O 0.655 0.003 0.871
O5 O 0.003 0.348 0.129
O6 O 0.348 0.345 0.871
O7 O 0.348 0.003 0.629
O8 O 0.655 0.652 0.629
O9 O 0.652 0.655 0.129
O10 O 0.345 0.997 0.129
O11 O 0.003 0.655 0.371
O12 O 0.997 0.345 0.629
Ti1 Ti 0.333 0.667 0.750
Ti2 Ti 0.667 0.333 0.250
Ru1 Ru 0.667 0.333 0.750
Ru2 Ru 0.333 0.667 0.250
Cu1 Cu 0.000 0.000 0.000
Cu2 Cu 0.000 0.000 0.500
```


[5]
This record from the Alexandria database describes a relaxed structure of Sr2Te4Pb. The functional is PBE-GGA.

Energy in eV/atom: -3.493
Formation energy without anion corrections in eV/atom: -0.687
Space group: No. 139
M_tot in μB/cell: 0.6

CIF file:
```
data_Sr2Te4Pb
_chemical_formula_sum 'Sr2 Te4 Pb1'
_symmetry_space_group_name_H-M 'P 1'
_symmetry_Int_Tables_number 1
_cell_length_a 5.882
_cell_length_b 5.882
_cell_length_c 9.361
_cell_angle_alpha 71.69
_cell_angle_beta 71.69
_cell_angle_gamma 90.00
loop_
_symmetry_equiv_pos_as_xyz
'x,y,z'
loop_
_atom_site_label
_atom_site_type_symbol
_atom_site_fract_x
_atom_site_fract_y
_atom_site_fract_z
Te1 Te 0.500 0.000 0.000
Te2 Te 0.811 0.811 0.379
Te3 Te 0.189 0.189 0.621
Te4 Te 0.000 0.500 0.000
Sr1 Sr 0.378 0.378 0.245
Sr2 Sr 0.622 0.622 0.755
Pb1 Pb 0.000 0.000 0.000
```


[6]
This record from the Alexandria database describes a relaxed structure of KUF6. The functional is PBE-GGA.

Energy in eV/atom: -6.422
Formation energy without anion corrections in eV/atom: -3.471
Space group: No. 163
M_tot in μB/cell: 2.0

CIF file:
```
data_KUF6
_chemical_formula_sum 'K2 U2 F12'
_symmetry_space_group_name_H-M 'P 1'
_symmetry_Int_Tables_number 1
_cell_length_a 5.962
_cell_length_b 5.962
_cell_length_c 11.765
_cell_angle_alpha 90.00
_cell_angle_beta 90.00
_cell_angle_gamma 120.00
loop_
_symmetry_equiv_pos_as_xyz
'x,y,z'
loop_
_atom_site_label
_atom_site_type_symbol
_atom_site_fract_x
_atom_site_fract_y
_atom_site_fract_z
F1 F 0.023 0.728 0.396
F2 F 0.272 0.977 0.104
F3 F 0.705 0.977 0.396
F4 F 0.977 0.272 0.604
F5 F 0.977 0.705 0.896
F6 F 0.728 0.023 0.896
F7 F 0.295 0.272 0.896
F8 F 0.272 0.295 0.396
F9 F 0.023 0.295 0.104
F10 F 0.705 0.728 0.104
F11 F 0.295 0.023 0.604
F12 F 0.728 0.705 0.604
U1 U 0.000 0.000 0.500
U2 U 0.000 0.000 0.000
K1 K 0.667 0.333 0.750
K2 K 0.333 0.667 0.250
```


[7]
This record from the Alexandria database describes a relaxed structure of SrReAs2. The functional is PBE-GGA.

Energy in eV/atom: -6.125
Energy relative to the elements in kJ per mole of atoms: -26
Space group: No. 166
M_tot in μB/cell: 0.0

CIF file:
```
data_SrReAs2
_chemical_formula_sum 'Sr1 Re1 As2'
_symmetry_space_group_name_H-M 'P 1'
_symmetry_Int_Tables_number 1
_cell_length_a 6.963
_cell_length_b 6.963
_cell_length_c 6.963
_cell_angle_alpha 32.80
_cell_angle_beta 32.80
_cell_angle_gamma 32.80
loop_
_symmetry_equiv_pos_as_xyz
'x,y,z'
loop_
_atom_site_label
_atom_site_type_symbol
_atom_site_fract_x
_atom_site_fract_y
_atom_site_fract_z
Sr1 Sr 0.750 0.750 0.750
As1 As 0.522 0.522 0.522
As2 As 0.978 0.978 0.978
Re1 Re 0.250 0.250 0.250
```


[8]
This record from the Alexandria database describes a relaxed structure of Dy4Sb5H. The functional is PBE-GGA.

Energy in eV/atom: -4.729
Space group: No. 12
M_tot in μB/cell: 0.0

CIF file:
```
data_Dy4Sb5H
_chemical_formula_sum 'Dy4 Sb5 H1'
_symmetry_space_group_name_H-M 'P 1'
_symmetry_Int_Tables_number 1
_cell_length_a 4.311
_cell_length_b 7.894
_cell_length_c 8.722
_cell_angle_alpha 74.00
_cell_angle_beta 104.31
_cell_angle_gamma 90.00
loop_
_symmetry_equiv_pos_as_xyz
'x,y,z'
loop_
_atom_site_label
_atom_site_type_symbol
_atom_site_fract_x
_atom_site_fract_y
_atom_site_fract_z
Sb1 Sb 0.788 0.222 0.576
Sb2 Sb 0.500 0.500 0.000
Sb3 Sb 0.857 0.648 0.715
Sb4 Sb 0.143 0.352 0.285
Sb5 Sb 0.212 0.778 0.424
Dy1 Dy 0.642 0.056 0.285
Dy2 Dy 0.042 0.750 0.083
Dy3 Dy 0.358 0.944 0.715
Dy4 Dy 0.958 0.250 0.917
H1 H 0.500 0.000 0.000
```